(1)
Density functional theory data (PBE) for crystalline Na2ZrTa at its relaxed geometry.

The value obtained for the excess energy over the best structure of this formula in the dataset is 0 meV per atom. As for the formation enthalpy at 0 K: 29.41 kcal/mol of atoms. As for the total energy: -4.485 eV per atom.

The space group is I-42d (No. 122) and the conventional cell measures 8.459, 8.459 and 5.324 Å, with angles of 90.00, 90.00 and 90.00 degrees. The distinct sites, in fractional coordinates, are Na at (0.245, 0.750, 0.125), Zr at (0.000, 0.000, 0.500) and Ta at (0.000, 0.000, 0.000).



(2)
Density functional theory data (PBE) for crystalline Dy2YTh4 at its relaxed geometry.

As for the formation enthalpy at 0 K: 5.22 kcal/mol of atoms. As for the total energy: -6.252 eV per atom.

The space group is C2/c (No. 15) and the conventional cell measures 6.688, 11.952 and 11.725 Å, with angles of 90.00, 90.09 and 90.00 degrees. The distinct sites, in fractional coordinates, are Dy at (0.000, 0.013, 0.250), Dy at (0.000, 0.366, 0.750), Y at (0.000, 0.345, 0.250), Th at (0.000, 0.226, 0.512) and Th at (0.230, 0.500, 0.000).



(3)
Density functional theory data (PBE) for crystalline PmPaS3 at its relaxed geometry.

The value obtained for the excess energy over the best structure of this formula in the dataset is 208 meV per atom. As for the total energy: -6.962 eV per atom. As for the energy relative to the elements, uncorrected: -8.2 eV per formula unit.

The space group is R32 (No. 155, hexagonal axes) and the conventional cell measures 6.7279, 6.7279 and 20.5297 Å, with angles of 90.00, 90.00 and 120.00 degrees. The distinct sites, in fractional coordinates, are Pm at (0.0000, 0.0000, 0.1524), Pa at (0.0000, 0.0000, 0.3415) and S at (0.0163, 0.3090, 0.2498).



(4)
Density functional theory data (PBE) for crystalline Er2TmB6 at its relaxed geometry.

As for the formation enthalpy at 0 K: -14.67 kcal/mol of atoms. As for the total energy: -6.598 eV per atom.

The space group is P6/mmm (No. 191) and the conventional cell measures 5.6523, 5.6523 and 3.8056 Å, with angles of 90.00, 90.00 and 120.00 degrees. The distinct sites, in fractional coordinates, are Er at (0.3333, 0.6667, 0.0000), Tm at (0.0000, 0.0000, 0.0000) and B at (0.0000, 0.3327, 0.5000).